First-principles (PBE) data for crystalline KOsBr2 at its relaxed geometry, as listed in the Alexandria database.

a = 6.2478 Å, b = 6.2478 Å, c = 6.2478 Å
α = 144.25°, β = 121.67°, γ = 70.33°
Element x y z (fractional)
K 0.0000 0.0000 0.0000
Os 0.5000 0.5000 0.0000
Br 0.3439 0.8439 0.5000
Br 0.6561 0.1561 0.5000

Output
energy above the most stable polymorph in this dataset = 0 meV/atom
ΔE_f (raw) = 0.047 eV per atom